Record 1
VASP calculation (PBE-GGA) on InMoPd2 after structural relaxation.

a = 4.5540 Å, b = 4.5540 Å, c = 4.5540 Å
α = 119.60°, β = 119.58°, γ = 90.71°
Element x y z (fractional)
Pd (0.2498, 0.7498, 0.5000)
Pd (0.7502, 0.2502, 0.5000)
In (0.5000, 0.5000, 0.0000)
Mo (0.0000, 0.0000, 0.0000)

**Crystal system**: tetragonal
**Size of the total moment**: 1.32 Bohr magnetons per cell

Record 2
VASP calculation (PBE-GGA) on CsNdTmSe3 after structural relaxation.

a = 8.5834 Å, b = 8.5834 Å, c = 10.5294 Å
α = 90.00°, β = 90.00°, γ = 147.27°
Element x y z (fractional)
Nd (0.9969, 0.0031, 0.2500)
Nd (0.0031, 0.9969, 0.7500)
Se (0.4194, 0.5806, 0.7500)
Se (0.8922, 0.1078, 0.0308)
Se (0.5806, 0.4194, 0.2500)
Se (0.1078, 0.8922, 0.9692)
Se (0.1078, 0.8922, 0.5308)
Se (0.8922, 0.1078, 0.4692)
Tm (0.5000, 0.5000, 0.5000)
Tm (0.5000, 0.5000, 0.0000)
Cs (0.7417, 0.2583, 0.7500)
Cs (0.2583, 0.7417, 0.2500)

**Crystal system**: orthorhombic
**Relative energy among the computed polymorphs**: 0.088 eV/atom
**Size of the total moment**: 0.50 Bohr magnetons per cell

Number 1: electronic total energy -5.95 eV/atom. Number 2: electronic total energy -4.92 eV/atom.